CaCu2Te: relaxed, PBE.

size of the total moment	0.0	μB per formula unit
calculated volume	94.2	Å³/f.u.
electronic total energy	-3.647	eV per atom

a = 4.1282 Å, b = 4.2115 Å, c = 5.4179 Å
α = 90.00°, β = 90.06°, γ = 90.00°
With the nearest neighbours (Å) after each atom.
Space group Pm (No. 6)
Asymmetric unit:
Ca (0.0000, 0.0000, 0.0000)  6 Cu 3.17-3.19, 4 Te 3.27
Cu (0.5000, 0.0000, 0.4439)  2 Cu 2.42, 2 Te 2.64
Cu (0.4999, 0.5000, 0.2236)  2 Cu 2.42, 1 Te 2.63
Te (0.4998, 0.5000, 0.7373)  4 Cu 2.63-2.78